## CaMgHg (meta-GGA SCAN)

Data for CaMgHg at its PBEsol-relaxed geometry.

Unit cell a=3.6414 b=3.6414 c=6.2399 alpha=106.96 beta=106.96 gamma=90.00
Sites, in units of the cell vectors:
Ca  0.0111  0.0111  0.0223
Hg  0.6809  0.6809  0.3618
Mg  0.3080  0.3080  0.6159

Values from the calculation:
For the spin magnetization, the calculation gives 0.00 μB per atom. The formation enthalpy at 0 K comes out at -0.44 eV per atom. For the density of states at the Fermi level, the calculation gives 1.50 states/eV/cell. Its space-group type is I4mm.

## HfHIO2 (meta-GGA SCAN)

Data for HfHIO2 at its PBEsol-relaxed geometry.

Unit cell a=3.4294 b=4.1386 c=4.1386 alpha=90.00 beta=90.00 gamma=90.00
Sites, in units of the cell vectors:
O  0.0000  0.5000  0.0000
I  0.5000  0.0000  0.0000
Hf  0.5000  0.5000  0.5000
H  0.0000  0.0000  0.0000
O  0.0000  0.0000  0.5000

Values from the calculation:
For the spin magnetization, the calculation gives 0.00 μB per atom. For the density of states at the Fermi level, the calculation gives 1.92 states/eV/cell. Its space-group type is P4/mmm. As for the raw total energy: -115.301 eV/cell.

## ScPtSe2 (meta-GGA SCAN)

Data for ScPtSe2 at its PBEsol-relaxed geometry.

Unit cell a=3.9728 b=3.9728 c=6.9820 alpha=73.47 beta=73.47 gamma=60.00
Sites, in units of the cell vectors:
Sc  0.2454  0.2454  0.2639
Pt  0.4874  0.4874  0.5377
Se  0.7883  0.7883  0.6351
Se  0.9789  0.9789  0.0633

Values from the calculation:
For the spin magnetization, the calculation gives 0.00 μB per atom. The value obtained for the energy above the most stable polymorph in this dataset is 1.6 kJ/mol of atoms. The energy relative to the elements, uncorrected is -1.044 eV per atom. For the density of states at the Fermi level, the calculation gives 1.00 states/eV/cell. Its space-group type is R3m.

## TaCu2TcAg (meta-GGA SCAN)

Data for TaCu2TcAg at its PBEsol-relaxed geometry.

Unit cell a=4.5814 b=4.5814 c=4.9297 alpha=90.00 beta=90.00 gamma=90.00
Last column: magnetic moment on the atom in μB.
Sites, in units of the cell vectors:
Tc  0.5000  0.5000  0.5000  3.78
Cu  0.5000  0.0000  0.0000  0.04
Ta  0.0000  0.0000  0.0000  0.16
Cu  0.0000  0.5000  0.0000  0.04
Ag  0.0000  0.0000  0.5000  0.04

Values from the calculation:
For the spin magnetization, the calculation gives 0.83 μB per atom. The formation enthalpy at 0 K comes out at 2.01 eV per atom. For the density of states at the Fermi level, the calculation gives 4.30 states/eV/cell. Its space-group type is P4/mmm.